{"formula": "ZrHgPt2", "functional": "PBE", "state": "optimized geometry", "spacegroup": "P4mm (99)", "ef_ev_per_atom": -0.49, "cell": [[3.6400, 0.0000, 0.0000], [0.0000, 3.6400, 0.0000], [0.0000, 0.0000, 5.6706]], "species": ["Zr", "Hg", "Pt", "Pt"], "fractional_positions": [[0.0000, 0.0000, 0.0000], [0.5000, 0.5000, 0.3062], [0.0000, 0.0000, 0.5263], [0.5000, 0.5000, 0.8016]]}

---

{"formula": "ZrHg2Pt", "functional": "PBE", "state": "optimized geometry", "de_polymorph_mev_per_atom": 104.4, "spacegroup": "R3m (160)", "ef_ev_per_atom": -0.24, "cell": [[3.6795, 0.0000, 0.0000], [-1.8397, 3.1865, 0.0000], [0.0000, 0.0000, 23.9768]], "species": ["Zr", "Zr", "Zr", "Hg", "Hg", "Hg", "Hg", "Hg", "Hg", "Pt", "Pt", "Pt"], "fractional_positions": [[0.0000, 0.0000, 0.0000], [0.3333, 0.6667, 0.6667], [0.6667, 0.3333, 0.3333], [0.0000, 0.0000, 0.5184], [0.0000, 0.0000, 0.7597], [0.3333, 0.6667, 0.1850], [0.3333, 0.6667, 0.4264], [0.6667, 0.3333, 0.0930], [0.6667, 0.3333, 0.8517], [0.0000, 0.0000, 0.2691], [0.3333, 0.6667, 0.9357], [0.6667, 0.3333, 0.6024]]}

---

{"formula": "ZrHgPt2", "functional": "PBE", "state": "optimized geometry", "spacegroup": "I-4m2 (119)", "ef_ev_per_atom": -0.57, "cell": [[4.1195, 0.0000, 0.0000], [0.0000, 4.1195, 0.0000], [0.0000, 0.0000, 8.5395]], "species": ["Zr", "Zr", "Hg", "Hg", "Pt", "Pt", "Pt", "Pt"], "fractional_positions": [[0.0000, 0.0000, 0.0000], [0.5000, 0.5000, 0.5000], [0.0000, 0.5000, 0.2500], [0.5000, 0.0000, 0.7500], [0.0000, 0.0000, 0.5000], [0.0000, 0.5000, 0.7500], [0.5000, 0.0000, 0.2500], [0.5000, 0.5000, 0.0000]]}

---

{"formula": "ZrHgPt3", "functional": "PBE", "state": "optimized geometry", "de_polymorph_mev_per_atom": 0.0, "spacegroup": "Pm-3m (221)", "ef_ev_per_atom": 0.71, "cell": [[5.0034, 0.0000, 0.0000], [0.0000, 5.0034, 0.0000], [0.0000, 0.0000, 5.0034]], "species": ["Zr", "Hg", "Pt", "Pt", "Pt"], "fractional_positions": [[0.0000, 0.0000, 0.0000], [0.5000, 0.5000, 0.5000], [0.0000, 0.0000, 0.5000], [0.0000, 0.5000, 0.0000], [0.5000, 0.0000, 0.0000]]}